(1)
{"formula": "Er6GaRh", "functional": "PBE", "state": "optimized geometry", "crystal_system": "monoclinic", "final_energy_ev_per_atom": -4.919, "delta_e_f_ev_per_fu": -1.59, "m_tot_mub_per_atom": 0.00, "lattice_angstrom": [[-3.6398, 3.9186, -3.8931], [-4.6479, -3.2531, -3.5411], [-6.0493, -0.8958, 2.4479]], "species": ["Er", "Er", "Er", "Er", "Er", "Er", "Ga", "Rh"], "frac_coords": [[0.7462, 0.4504, 0.6200], [0.7462, 0.0704, 0.3800], [0.2538, 0.9296, 0.6200], [0.2538, 0.5496, 0.3800], [0.7384, 0.7390, 0.0000], [0.2616, 0.2610, 0.0000], [0.0000, 0.0000, 0.0000], [0.5000, 0.5000, 0.0000]]}

(2)
{"formula": "ZnCd2Br", "functional": "PBE", "state": "optimized geometry", "crystal_system": "tetragonal", "final_energy_ev_per_atom": -1.254, "m_tot_mub_per_atom": 0.00, "formation_energy_uncorrected_ev_per_atom": -0.059, "relative_energy_mev_per_atom": 86, "lattice_angstrom": [[-2.3815, 0.7992, -2.2935], [-1.3176, -3.1249, 0.2792], [-4.7745, 2.5350, 5.8410]], "species": ["Br", "Cd", "Cd", "Zn"], "frac_coords": [[0.5000, 0.5000, 0.7500], [0.0000, 0.0000, 0.0248], [0.0000, 0.0000, 0.4752], [0.5000, 0.5000, 0.2500]]}

(3)
{"formula": "Zn2HgW", "functional": "PBE", "state": "optimized geometry", "crystal_system": "monoclinic", "final_energy_ev_per_atom": -3.522, "delta_e_f_ev_per_fu": 1.72, "m_tot_mub_per_atom": 0.00, "lattice_angstrom": [[-3.3325, -0.1529, -2.8412], [-1.6279, -1.1569, 1.9717], [-1.6047, 4.9939, 1.6135]], "species": ["Hg", "W", "Zn", "Zn"], "frac_coords": [[0.5000, 0.2500, 0.2500], [0.5000, 0.7500, 0.7500], [0.0000, 0.2459, 0.9668], [0.0000, 0.2541, 0.5332]]}

(4)
{"formula": "AcPmNdHg", "functional": "PBE", "state": "optimized geometry", "crystal_system": "tetragonal", "final_energy_ev_per_atom": -3.707, "delta_e_f_ev_per_fu": -0.90, "m_tot_mub_per_atom": 0.00, "relative_energy_mev_per_atom": 0, "lattice_angstrom": [[-0.0856, -1.5136, 3.5348], [2.1188, -2.9690, -1.2200], [7.4949, 4.4849, 2.1020]], "species": ["Ac", "Pm", "Nd", "Hg"], "frac_coords": [[0.0000, 0.0000, 0.0728], [0.5000, 0.5000, 0.3616], [0.5000, 0.5000, 0.7820], [0.0000, 0.0000, 0.5682]]}

(5)
{"formula": "Ca5Cd2F12", "functional": "PBE", "state": "optimized geometry", "crystal_system": "monoclinic", "final_energy_ev_per_atom": -5.095, "m_tot_mub_per_atom": 0.00, "formation_energy_uncorrected_ev_per_atom": -3.290, "lattice_angstrom": [[5.8879, 0.0000, 0.0000], [-2.9440, 6.5126, 0.0837], [0.0000, -2.1884, 7.6280]], "species": ["Ca", "Ca", "Ca", "Ca", "Ca", "Cd", "Cd", "F", "F", "F", "F", "F", "F", "F", "F", "F", "F", "F", "F"], "frac_coords": [[0.3142, 0.6283, 0.6474], [0.3236, 0.6472, 0.1900], [0.0000, 0.0000, 0.5000], [0.6764, 0.3528, 0.8100], [0.6858, 0.3717, 0.3526], [0.7259, 0.0000, 0.0000], [0.2741, 0.0000, 0.0000], [0.9830, 0.9660, 0.2025], [0.0657, 0.6169, 0.8766], [0.5513, 0.6169, 0.8766], [0.0796, 0.6824, 0.4362], [0.6029, 0.6824, 0.4362], [0.4973, 0.9947, 0.6872], [0.5027, 0.0053, 0.3128], [0.9204, 0.3176, 0.5638], [0.3971, 0.3176, 0.5638], [0.9343, 0.3831, 0.1234], [0.4487, 0.3831, 0.1234], [0.0170, 0.0340, 0.7975]]}

(6)
{"formula": "CuSiPdCl2", "functional": "PBE", "state": "optimized geometry", "crystal_system": "tetragonal", "final_energy_ev_per_atom": -3.225, "m_tot_mub_per_atom": 0.00, "formation_energy_uncorrected_ev_per_atom": 0.457, "lattice_angstrom": [[-4.9730, 0.2636, 0.1041], [-0.2646, -4.2056, -1.9924], [-0.0187, -2.1316, 4.5019]], "species": ["Si", "Cu", "Pd", "Cl", "Cl"], "frac_coords": [[0.0000, 0.5000, 0.0000], [0.5000, 0.5000, 0.5000], [0.0000, 0.0000, 0.0000], [0.0000, 0.0000, 0.5000], [0.5000, 0.0000, 0.0000]]}

(7)
{"formula": "RuRh2Cl", "functional": "PBE", "state": "optimized geometry", "crystal_system": "orthorhombic", "final_energy_ev_per_atom": -5.841, "m_tot_mub_per_atom": 0.00, "formation_energy_uncorrected_ev_per_atom": 0.616, "relative_energy_mev_per_atom": 320, "lattice_angstrom": [[-0.9004, -1.7278, -4.9100], [-4.4836, -2.5981, -1.0251], [2.4148, 4.4290, 1.5673]], "species": ["Cl", "Rh", "Rh", "Ru"], "frac_coords": [[0.2614, 0.7614, 0.5000], [0.0201, 0.0201, 0.0000], [0.7383, 0.2383, 0.5000], [0.4802, 0.4802, 0.0000]]}

(8)
{"formula": "Pm4Er3Ir4", "functional": "PBE", "state": "optimized geometry", "crystal_system": "orthorhombic", "final_energy_ev_per_atom": -6.750, "delta_e_f_ev_per_fu": -6.12, "m_tot_mub_per_atom": 0.00, "lattice_angstrom": [[-0.5291, -3.2556, 1.7510], [6.7647, -3.4337, -4.3399], [1.9984, 5.7702, 7.3501]], "species": ["Pm", "Pm", "Pm", "Pm", "Er", "Er", "Er", "Ir", "Ir", "Ir", "Ir"], "frac_coords": [[0.3349, 0.1471, 0.6698], [0.6651, 0.4773, 0.3302], [0.6651, 0.8529, 0.3302], [0.3349, 0.5227, 0.6698], [0.0960, 0.0960, 0.1920], [0.9040, 0.9040, 0.8080], [0.0000, 0.5000, 0.0000], [0.2626, 0.7626, 0.5252], [0.7374, 0.2374, 0.4748], [0.5000, 0.7830, 0.0000], [0.5000, 0.2170, 0.0000]]}

(9)
{"formula": "NaSi2Tc2", "functional": "PBE", "state": "optimized geometry", "crystal_system": "tetragonal", "final_energy_ev_per_atom": -6.714, "m_tot_mub_per_atom": 0.00, "formation_energy_uncorrected_ev_per_atom": -0.135, "relative_energy_mev_per_atom": 0, "lattice_angstrom": [[-2.1184, 5.3324, -4.1705], [2.9308, -3.2168, -5.6016], [-2.5375, -1.4122, -0.5167]], "species": ["Na", "Na", "Si", "Si", "Si", "Si", "Tc", "Tc", "Tc", "Tc"], "frac_coords": [[0.0000, 0.0000, 0.0000], [0.5000, 0.5000, 0.0000], [0.3627, 0.8627, 0.0000], [0.8627, 0.6373, 0.0000], [0.6373, 0.1373, 0.0000], [0.1373, 0.3627, 0.0000], [0.1507, 0.6507, 0.5000], [0.6507, 0.8493, 0.5000], [0.8493, 0.3493, 0.5000], [0.3493, 0.1507, 0.5000]]}

(10)
{"formula": "DyErMgHg", "functional": "PBE", "state": "optimized geometry", "crystal_system": "cubic", "final_energy_ev_per_atom": -3.025, "delta_e_f_ev_per_fu": -1.04, "m_tot_mub_per_atom": 0.00, "relative_energy_mev_per_atom": 18, "lattice_angstrom": [[-4.4243, -0.5775, 2.8101], [-2.2195, -4.7595, 0.4746], [0.1278, -2.5187, 4.6308]], "species": ["Mg", "Dy", "Hg", "Er"], "frac_coords": [[0.0000, 0.0000, 0.0000], [0.2500, 0.2500, 0.2500], [0.5000, 0.5000, 0.5000], [0.7500, 0.7500, 0.7500]]}

(11)
{"formula": "HfNb2Al", "functional": "PBE", "state": "optimized geometry", "crystal_system": "tetragonal", "final_energy_ev_per_atom": -8.645, "delta_e_f_ev_per_fu": -0.74, "m_tot_mub_per_atom": 0.00, "lattice_angstrom": [[-0.2788, -2.4209, -3.8635], [-2.2594, -2.7511, 1.8869], [-3.3269, 2.0262, -1.0296]], "species": ["Nb", "Nb", "Hf", "Al"], "frac_coords": [[0.0000, 0.0000, 0.5000], [0.0000, 0.5000, 0.0000], [0.5000, 0.5000, 0.5000], [0.5000, 0.0000, 0.0000]]}

(12)
{"formula": "HfRhNO2", "functional": "PBE", "state": "optimized geometry", "crystal_system": "tetragonal", "final_energy_ev_per_atom": -7.496, "m_tot_mub_per_atom": 0.00, "formation_energy_uncorrected_ev_per_atom": -0.387, "lattice_angstrom": [[3.8426, 0.0000, 0.0000], [0.0000, 3.8426, 0.0000], [0.0000, 0.0000, 3.9310]], "species": ["Rh", "Hf", "O", "O", "N"], "frac_coords": [[0.0000, 0.0000, 0.0000], [0.5000, 0.5000, 0.5000], [0.0000, 0.5000, 0.0000], [0.5000, 0.0000, 0.0000], [0.0000, 0.0000, 0.5000]]}

(13)
{"formula": "Sr2LaV", "functional": "PBE", "state": "optimized geometry", "crystal_system": "cubic", "final_energy_ev_per_atom": -3.679, "delta_e_f_ev_per_fu": 2.69, "m_tot_mub_per_atom": 0.99, "relative_energy_mev_per_atom": 0, "lattice_angstrom": [[0.0000, 4.1754, 4.1754], [4.1754, 0.0000, 4.1754], [4.1754, 4.1754, 0.0000]], "species": ["Sr", "Sr", "La", "V"], "frac_coords": [[0.2500, 0.2500, 0.2500], [0.7500, 0.7500, 0.7500], [0.5000, 0.5000, 0.5000], [0.0000, 0.0000, 0.0000]]}